! PBE with a Hubbard U LiNiO, optimized geometry; values from VASP
&SYSTEM
  ibrav = 0, nat = 6, ntyp = 3
/
ATOMIC_SPECIES
O 16.00 O.upf
Ni 58.69 Ni.upf
Li 6.94 Li.upf
ATOMIC_POSITIONS crystal
O 0.111 0.329 0.915
O 0.015 0.966 0.381
Ni 0.563 0.647 0.648
Ni 0.563 0.148 0.648
Li 0.519 0.363 0.166
Li 0.607 0.932 0.130
CELL_PARAMETERS angstrom
-2.065 -1.456 -1.696
-0.387 0.687 5.341
-3.403 3.224 -1.360
! **Calculated total energy**: -4.13 eV/atom
! **Space group**: No. 12